# Nd4TlHg2

A relaxed Nd4TlHg2 crystal (PBE, Alexandria via LeMat-Bulk).

Unit cell a=7.6475 b=7.6475 c=7.5976 alpha=90.00 beta=90.00 gamma=90.00
Fractional coordinates of all 14 atoms:
Nd1 0.2500 0.2500 0.2500
Nd2 0.2500 0.2500 0.7500
Nd3 0.2500 0.7500 0.2500
Nd4 0.2500 0.7500 0.7500
Nd5 0.7500 0.2500 0.2500
Nd6 0.7500 0.2500 0.7500
Nd7 0.7500 0.7500 0.2500
Nd8 0.7500 0.7500 0.7500
Tl1 0.0000 0.0000 0.0000
Tl2 0.5000 0.5000 0.5000
Hg1 0.0000 0.5000 0.0000
Hg2 0.0000 0.5000 0.5000
Hg3 0.5000 0.0000 0.0000
Hg4 0.5000 0.0000 0.5000

Magnetization, μB/f.u.: 0.91
Energy above the lowest structure with this stoichiometry, meV/atom: 0
Energy of formation, eV/f.u.: -2.1
Space group: I4/mmm
Final energy, eV per atom: -3.46



# Nd3Tl3Hg2

A relaxed Nd3Tl3Hg2 crystal (PBE, Alexandria via LeMat-Bulk).

Unit cell a=5.2201 b=5.2629 c=8.2694 alpha=90.00 beta=90.00 gamma=90.00
Fractional coordinates of all 8 atoms:
Nd1 0.0000 0.0000 0.0000
Nd2 0.0000 0.0000 0.5000
Nd3 0.5000 0.5000 0.0000
Tl1 0.5000 0.0000 0.2506
Tl2 0.5000 0.0000 0.7494
Tl3 0.5000 0.5000 0.5000
Hg1 0.0000 0.5000 0.2465
Hg2 0.0000 0.5000 0.7535

Magnetization, μB/f.u.: 0.00
Energy above the lowest structure with this stoichiometry, meV/atom: 13
Energy of formation, eV/f.u.: -2.8
Space group: Pmmm
Final energy, eV per atom: -3.10



# Nd3TlHg3

A relaxed Nd3TlHg3 crystal (PBE, Alexandria via LeMat-Bulk).

Unit cell a=7.3010 b=7.3010 c=7.7443 alpha=90.52 beta=90.52 gamma=91.03
Fractional coordinates of all 14 atoms:
Nd1 0.0531 0.4453 0.7478
Nd2 0.0696 0.0696 0.2548
Nd3 0.4453 0.0531 0.7478
Nd4 0.5547 0.9469 0.2522
Nd5 0.9304 0.9304 0.7452
Nd6 0.9469 0.5547 0.2522
Tl1 0.3473 0.3473 0.0562
Tl2 0.6527 0.6527 0.9438
Hg1 0.2354 0.7646 0.0000
Hg2 0.2441 0.7559 0.5000
Hg3 0.3455 0.3455 0.4513
Hg4 0.6545 0.6545 0.5487
Hg5 0.7559 0.2441 0.5000
Hg6 0.7646 0.2354 0.0000

Magnetization, μB/f.u.: 0.00
Energy of formation, eV/f.u.: -2.3
Space group: C2/m
Final energy, eV per atom: -2.83



# Nd4Tl5Hg2

A relaxed Nd4Tl5Hg2 crystal (PBE, Alexandria via LeMat-Bulk).

Unit cell a=8.5072 b=3.7968 c=10.0034 alpha=90.00 beta=90.50 gamma=90.00
Fractional coordinates of all 11 atoms:
Nd1 0.2170 0.0000 0.3627
Nd2 0.2407 0.0000 0.8934
Nd3 0.7593 0.0000 0.1066
Nd4 0.7830 0.0000 0.6373
Tl1 0.1307 0.5000 0.6253
Tl2 0.4482 0.5000 0.1570
Tl3 0.5000 0.5000 0.5000
Tl4 0.5518 0.5000 0.8430
Tl5 0.8693 0.5000 0.3747
Hg1 0.0838 0.5000 0.1274
Hg2 0.9162 0.5000 0.8726

Magnetization, μB/f.u.: 0.00
Energy of formation, eV/f.u.: -3.7
Space group: P2/m
Final energy, eV per atom: -3.20